Here is crystalline NaPt4 at its relaxed geometry from Alexandria via LeMat-Bulk. Energies are from PBE.

Excess energy over the best structure of this formula in the dataset in eV per atom: 1.620
Crystal system: cubic
Calculated density in g cm⁻³: 14.4

```
data_NaPt4
_symmetry_space_group_name_H-M 'P m -3 m'
_symmetry_Int_Tables_number 221
_symmetry_space_group_name_Hall '-P 4 2 3'
_cell_length_a 4.5271
_cell_length_b 4.5271
_cell_length_c 4.5271
_cell_angle_alpha 90.00
_cell_angle_beta 90.00
_cell_angle_gamma 90.00
loop_
_atom_site_label
_atom_site_fract_x
_atom_site_fract_y
_atom_site_fract_z
Na1 0.0000 0.0000 0.0000
Pt1 0.0000 0.0000 0.5000
Pt2 0.5000 0.5000 0.5000
```

Here is crystalline Na3Pt at its relaxed geometry from Alexandria via LeMat-Bulk. Energies are from PBE.

Crystal system: tetragonal
Calculated density in g cm⁻³: 4.3
Final energy in eV per cell: -10.0

```
data_Na3Pt
_symmetry_space_group_name_H-M 'P 4/m m m'
_symmetry_Int_Tables_number 123
_symmetry_space_group_name_Hall '-P 4 2'
_cell_length_a 3.1771
_cell_length_b 3.1771
_cell_length_c 10.0305
_cell_angle_alpha 90.00
_cell_angle_beta 90.00
_cell_angle_gamma 90.00
loop_
_atom_site_label
_atom_site_fract_x
_atom_site_fract_y
_atom_site_fract_z
Na1 0.0000 0.0000 0.0000
Na2 0.5000 0.5000 0.3159
Pt1 0.0000 0.0000 0.5000
```

Here is crystalline Na3Pt at its relaxed geometry from Alexandria via LeMat-Bulk. Energies are from PBE.

Crystal system: hexagonal
Calculated density in g cm⁻³: 4.7
Final energy in eV per cell: -9.7

```
data_Na3Pt
_symmetry_space_group_name_H-M 'P -6 m 2'
_symmetry_Int_Tables_number 187
_symmetry_space_group_name_Hall 'P -6 2'
_cell_length_a 3.1013
_cell_length_b 3.1013
_cell_length_c 11.2324
_cell_angle_alpha 90.00
_cell_angle_beta 90.00
_cell_angle_gamma 120.00
loop_
_atom_site_label
_atom_site_fract_x
_atom_site_fract_y
_atom_site_fract_z
Na1 0.0000 0.0000 0.0000
Na2 0.6667 0.3333 0.2957
Pt1 0.0000 0.0000 0.5000
```

Q: Which value of calculated density does entry 3 give?
A: 4.7 g cm⁻³